! SrYTc2 GGA-PBE optimized geometry; values from VASP
&SYSTEM
  ibrav = 0, nat = 4, ntyp = 3
/
ATOMIC_SPECIES
Sr 87.62 Sr.upf
Y 88.91 Y.upf
Tc 98.00 Tc.upf
CELL_PARAMETERS angstrom
1.648 0.951 9.355
-1.648 0.951 9.355
0.000 -1.903 9.355
ATOMIC_POSITIONS crystal
Sr 0.000 0.000 0.000
Y 0.500 0.500 0.500
Tc 0.244 0.244 0.244
Tc 0.756 0.756 0.756
! Energy above the most stable polymorph in this dataset ... 636 meV per atom
! ΔE_f ... 3.58 eV/f.u.
! Density of states at the Fermi level ... 6.5 states/eV per cell
! Space-group type ... R-3m